# AcIn3Hg2

A relaxed AcIn3Hg2 crystal (PBE, the Alexandria database).

Summary:
- total magnetization (μB per formula unit) = 0.0
- VASP energy (eV/atom) = -2.43
- E above lowest polymorph (eV per atom) = 0.000
- formation enthalpy at 0 K (eV per atom) = -0.28

Cell lengths 4.9893, 9.8722, 7.9708 Å; angles 117.43, 90.00, 104.64 degrees
Last column: nearest neighbours and their distance in Å.
Element x y z (fractional)
In  0.6260  0.2520  0.7390  4 Hg 3.05-3.25, 3 In 3.11-3.27
In  0.9379  0.8759  0.5633  3 In 2.99-3.27, 3 Hg 2.99-3.26
In  0.3740  0.7480  0.2610  4 Hg 3.05-3.25, 3 In 3.11-3.27
In  0.0621  0.1241  0.4367  3 In 2.99-3.27, 3 Hg 2.99-3.26
In  0.6984  0.3968  0.4621  2 Hg 3.03-3.06, 3 In 3.06-3.11
In  0.3016  0.6032  0.5379  2 Hg 3.03-3.06, 3 In 3.06-3.11
Ac  0.1236  0.2472  0.0631  7 Hg 3.46-3.66, 7 In 3.61-3.87
Ac  0.8764  0.7528  0.9369  7 Hg 3.46-3.66, 7 In 3.61-3.87
Hg  0.4796  0.9591  0.7988  1 Hg 2.92, 4 In 2.99-3.05
Hg  0.5204  0.0409  0.2012  1 Hg 2.92, 4 In 2.99-3.05
Hg  0.2349  0.4699  0.8193  5 In 3.06-3.26
Hg  0.7651  0.5301  0.1807  5 In 3.06-3.26

# Mg2SiPdS

A relaxed Mg2SiPdS crystal (PBE, the Alexandria database).

Summary:
- total magnetization (μB per formula unit) = 0.0
- raw formation energy (eV/atom) = 0.11
- VASP energy (eV/atom) = -3.47

Cell lengths 4.9815, 4.5017, 4.9815 Å; angles 90.00, 90.00, 90.00 degrees
Last column: nearest neighbours and their distance in Å.
Element x y z (fractional)
S  0.5000  0.5000  0.5000  8 Mg 3.36, 4 Pd 3.52
Mg  0.5000  0.0000  0.0000  2 Si 2.49
Mg  0.0000  0.0000  0.5000  2 Si 2.49
Si  0.0000  0.0000  0.0000  2 Pd 2.25, 4 Mg 2.49
Pd  0.0000  0.5000  0.0000  2 Si 2.25

# UVS6

A relaxed UVS6 crystal (PBE, the Alexandria database).

Summary:
- total magnetization (μB per formula unit) = 1.0
- raw formation energy (eV/atom) = -0.59
- VASP energy (eV/atom) = -6.24

Cell lengths 5.9578, 6.4240, 7.2308 Å; angles 57.96, 55.28, 57.35 degrees
Last column: nearest neighbours and their distance in Å.
Element x y z (fractional)
V  0.0000  0.0000  0.0000  6 S 2.31-2.42
S  0.5846  0.1448  0.9230  1 S 2.06
S  0.6957  0.1653  0.3246  1 V 2.38, 1 U 2.47
S  0.4154  0.8552  0.0770  1 S 2.06
S  0.3043  0.8347  0.6754  1 V 2.38, 1 U 2.47
S  0.0292  0.4097  0.7496  1 V 2.31, 1 U 2.52
S  0.9708  0.5903  0.2504  1 V 2.31, 1 U 2.52
U  0.5000  0.5000  0.5000  4 S 2.47-2.52